(1)
Ca2AlGa2 | meta-GGA SCAN | single point on PBEsol structure

Values from the calculation:
Relative energy among the computed polymorphs ... 474 meV/atom
Symmetry ... No. 139
Formation enthalpy at 0 K ... 0.31 eV/f.u.

a = 6.8941 Å, b = 6.8941 Å, c = 6.8941 Å
α = 141.46°, β = 141.46°, γ = 55.64°
Closest atoms and distances in Å follow each position.
Element x y z (fractional)
Ca 0.2500 0.7500 0.5000  4 Ga 2.97, 4 Ca 3.22
Ca 0.7500 0.2500 0.5000  4 Ga 2.97, 4 Ca 3.22
Al 0.0000 0.0000 0.0000  8 Ga 3.42, 8 Ca 3.80
Ga 0.4060 0.4060 0.0000  1 Ga 2.29
Ga 0.5940 0.5940 0.0000  1 Ga 2.29

(2)
P2RuW | meta-GGA SCAN | single point on PBEsol structure

Values from the calculation:
Symmetry ... No. 44
Formation enthalpy at 0 K ... 0.04 eV/f.u.

a = 5.2012 Å, b = 5.2012 Å, c = 5.2012 Å
α = 147.09°, β = 135.29°, γ = 56.62°
Closest atoms and distances in Å follow each position.
Element x y z (fractional)
P 0.0000 0.0000 0.0000  2 Ru 2.40, 4 W 2.48
P 0.7259 0.2259 0.5000  4 Ru 2.47, 2 W 2.71
Ru 0.2072 0.7072 0.5000  6 P 2.40-2.47
W 0.4771 0.4771 0.0000  6 P 2.48-2.71

(3)
FeAgSe | meta-GGA SCAN | single point on PBEsol structure

Values from the calculation:
Symmetry ... No. 216

a = 4.3184 Å, b = 4.3184 Å, c = 4.3184 Å
α = 60.00°, β = 60.00°, γ = 60.00°
Closest atoms and distances in Å follow each position.
Element x y z (fractional)
Fe 0.0000 0.0000 0.0000  4 Ag 2.64
Ag 0.7500 0.7500 0.7500  4 Se 2.64, 4 Fe 2.64
Se 0.5000 0.5000 0.5000  4 Ag 2.64

(4)
Y4Sc5 | meta-GGA SCAN | single point on PBEsol structure

Values from the calculation:
Relative energy among the computed polymorphs ... 0 meV/atom
Symmetry ... No. 193
Formation enthalpy at 0 K ... 0.73 eV/f.u.

a = 9.1306 Å, b = 9.1306 Å, c = 6.5834 Å
α = 90.00°, β = 90.00°, γ = 120.00°
Closest atoms and distances in Å follow each position.
Element x y z (fractional)
Y 0.0000 0.0000 0.0000  6 Sc 3.28, 2 Y 3.29
Y 0.0000 0.0000 0.5000  6 Sc 3.28, 2 Y 3.29
Y 0.0000 0.3627 0.2500  5 Sc 2.98-3.33
Y 0.0000 0.6373 0.7500  5 Sc 2.98-3.33
Y 0.3627 0.0000 0.2500  5 Sc 2.98-3.33
Y 0.3627 0.3627 0.7500  5 Sc 2.98-3.33
Y 0.6373 0.0000 0.7500  5 Sc 2.98-3.33
Y 0.6373 0.6373 0.2500  5 Sc 2.98-3.33
Sc 0.0000 0.3108 0.7500  7 Y 2.98-3.33
Sc 0.0000 0.6892 0.2500  7 Y 2.98-3.33
Sc 0.3108 0.0000 0.7500  7 Y 2.98-3.33
Sc 0.3108 0.3108 0.2500  7 Y 2.98-3.33
Sc 0.3333 0.6667 0.0000  8 Sc 3.29-3.56, 6 Y 3.35
Sc 0.3333 0.6667 0.5000  8 Sc 3.29-3.56, 6 Y 3.35
Sc 0.6667 0.3333 0.0000  8 Sc 3.29-3.56, 6 Y 3.35
Sc 0.6667 0.3333 0.5000  8 Sc 3.29-3.56, 6 Y 3.35
Sc 0.6892 0.0000 0.2500  7 Y 2.98-3.33
Sc 0.6892 0.6892 0.7500  7 Y 2.98-3.33

(5)
CaCdIr3 | meta-GGA SCAN | single point on PBEsol structure

Values from the calculation:
Symmetry ... No. 221
Formation enthalpy at 0 K ... 11.73 eV/f.u.

a = 4.6934 Å, b = 4.6934 Å, c = 4.6934 Å
α = 90.00°, β = 90.00°, γ = 90.00°
Closest atoms and distances in Å follow each position.
Element x y z (fractional)
Ca 0.0000 0.0000 0.0000  6 Ir 2.35
Cd 0.5000 0.5000 0.5000  12 Ir 3.32
Ir 0.0000 0.0000 0.5000  2 Ca 2.35
Ir 0.0000 0.5000 0.0000  2 Ca 2.35
Ir 0.5000 0.0000 0.0000  2 Ca 2.35

(6)
LiFe | meta-GGA SCAN | single point on PBEsol structure

Values from the calculation:
Symmetry ... No. 67
Formation enthalpy at 0 K ... 0.34 eV/f.u.

a = 2.4608 Å, b = 2.4608 Å, c = 8.8600 Å
α = 90.00°, β = 90.00°, γ = 111.11°
Closest atoms and distances in Å follow each position.
Element x y z (fractional)
Li 0.2500 0.7500 0.8535  4 Li 2.46, 2 Fe 2.57
Li 0.7500 0.2500 0.1465  4 Li 2.46, 2 Fe 2.57
Fe 0.2500 0.7500 0.3904  6 Fe 2.39-2.46, 2 Li 2.57
Fe 0.7500 0.2500 0.6096  6 Fe 2.39-2.46, 2 Li 2.57

(7)
Cs2Hg6S7 | meta-GGA SCAN | single point on PBEsol structure

Values from the calculation:
Symmetry ... No. 102

a = 13.9360 Å, b = 13.9360 Å, c = 4.1498 Å
α = 90.00°, β = 90.00°, γ = 90.00°
Closest atoms and distances in Å follow each position.
Element x y z (fractional)
Cs 0.1701 0.1701 0.0000  7 S 3.48-3.57
Cs 0.3299 0.6701 0.5000  7 S 3.48-3.57
Cs 0.6701 0.3299 0.5000  7 S 3.48-3.57
Cs 0.8299 0.8299 0.0000  7 S 3.48-3.57
Hg 0.0752 0.6534 0.0056  4 S 2.48-2.73
Hg 0.0994 0.9006 0.5839  2 S 2.38
Hg 0.1534 0.4248 0.5056  4 S 2.48-2.73
Hg 0.3466 0.9248 0.0056  4 S 2.48-2.73
Hg 0.4006 0.4006 0.0839  2 S 2.38
Hg 0.4248 0.1534 0.5056  4 S 2.48-2.73
Hg 0.5752 0.8466 0.5056  4 S 2.48-2.73
Hg 0.5994 0.5994 0.0839  2 S 2.38
Hg 0.6534 0.0752 0.0056  4 S 2.48-2.73
Hg 0.8466 0.5752 0.5056  4 S 2.48-2.73
Hg 0.9006 0.0994 0.5839  2 S 2.38
Hg 0.9248 0.3466 0.0056  4 S 2.48-2.73
S 0.0000 0.0000 0.2586  2 Hg 2.38
S 0.0213 0.3056 0.5052  3 Hg 2.48-2.54
S 0.1823 0.8177 0.0006  1 Hg 2.38
S 0.1944 0.5213 0.0052  3 Hg 2.48-2.54
S 0.3056 0.0213 0.5052  3 Hg 2.48-2.54
S 0.3177 0.3177 0.5006  1 Hg 2.38
S 0.4787 0.8056 0.0052  3 Hg 2.48-2.54
S 0.5000 0.5000 0.7586  2 Hg 2.38
S 0.5213 0.1944 0.0052  3 Hg 2.48-2.54
S 0.6823 0.6823 0.5006  1 Hg 2.38
S 0.6944 0.9787 0.5052  3 Hg 2.48-2.54
S 0.8056 0.4787 0.0052  3 Hg 2.48-2.54
S 0.8177 0.1823 0.0006  1 Hg 2.38
S 0.9787 0.6944 0.5052  3 Hg 2.48-2.54

(8)
BeIn2Cu | meta-GGA SCAN | single point on PBEsol structure

Values from the calculation:
Symmetry ... No. 25
Formation enthalpy at 0 K ... 1.26 eV/f.u.

a = 3.4689 Å, b = 3.8390 Å, c = 5.1519 Å
α = 90.00°, β = 90.00°, γ = 90.00°
Closest atoms and distances in Å follow each position.
Element x y z (fractional)
Be 0.0000 0.0000 0.0000  2 In 2.46-2.70
In 0.0000 0.0000 0.4767  2 Be 2.46-2.70
In 0.5000 0.5000 0.7901  2 Cu 2.49-2.66
Cu 0.5000 0.5000 0.2741  6 In 2.49-2.79

(9)
IrPbO2 | meta-GGA SCAN | single point on PBEsol structure

Values from the calculation:
Symmetry ... No. 166

a = 6.8598 Å, b = 6.8598 Å, c = 6.8598 Å
α = 27.50°, β = 27.50°, γ = 27.50°
Closest atoms and distances in Å follow each position.
Element x y z (fractional)
Ir 0.0000 0.0000 0.0000  6 O 2.06
Pb 0.5000 0.5000 0.5000  2 O 2.45
O 0.3760 0.3760 0.3760  3 Ir 2.06
O 0.6240 0.6240 0.6240  3 Ir 2.06

(10)
BeCoNiBr2 | meta-GGA SCAN | single point on PBEsol structure

Values from the calculation:
Symmetry ... No. 123

a = 4.5331 Å, b = 4.5331 Å, c = 4.0218 Å
α = 90.00°, β = 90.00°, γ = 90.00°
Closest atoms and distances in Å follow each position.
Element x y z (fractional)
Be 0.0000 0.0000 0.0000  2 Co 2.01
Co 0.0000 0.0000 0.5000  2 Be 2.01
Ni 0.5000 0.5000 0.5000  8 Br 3.03, 4 Co 3.21
Br 0.0000 0.5000 0.0000  2 Be 2.27
Br 0.5000 0.0000 0.0000  2 Be 2.27

(11)
ScCl | meta-GGA SCAN | single point on PBEsol structure

Values from the calculation:
Symmetry ... No. 164

a = 3.4008 Å, b = 3.4008 Å, c = 9.0928 Å
α = 90.00°, β = 90.00°, γ = 120.00°
Closest atoms and distances in Å follow each position.
Element x y z (fractional)
Sc 0.3333 0.6667 0.1393  3 Cl 2.57
Sc 0.6667 0.3333 0.8607  3 Cl 2.57
Cl 0.3333 0.6667 0.6790  3 Sc 2.57
Cl 0.6667 0.3333 0.3210  3 Sc 2.57

(12)
HfAlS2 | meta-GGA SCAN | single point on PBEsol structure

Values from the calculation:
Symmetry ... No. 122

a = 6.5465 Å, b = 6.5465 Å, c = 6.5465 Å
α = 129.34°, β = 129.34°, γ = 74.47°
Closest atoms and distances in Å follow each position.
Element x y z (fractional)
Hf 0.0000 0.0000 0.0000  4 S 2.47
Hf 0.7500 0.2500 0.5000  4 S 2.47
Al 0.2500 0.7500 0.5000  4 S 2.28
Al 0.5000 0.5000 0.0000  4 S 2.28
S 0.1545 0.6250 0.0295  2 Al 2.28, 2 Hf 2.47
S 0.3750 0.4045 0.5295  2 Al 2.28, 2 Hf 2.47
S 0.5955 0.1250 0.9705  2 Al 2.28, 2 Hf 2.47
S 0.8750 0.8455 0.4705  2 Al 2.28, 2 Hf 2.47

(13)
As2PbW | meta-GGA SCAN | single point on PBEsol structure

Values from the calculation:
Symmetry ... No. 65
Formation enthalpy at 0 K ... 3.68 eV/f.u.

a = 4.8112 Å, b = 4.8112 Å, c = 3.3567 Å
α = 90.00°, β = 90.00°, γ = 104.82°
Closest atoms and distances in Å follow each position.
Element x y z (fractional)
As 0.0000 0.5000 0.0000  4 Pb 2.93, 4 W 2.93, 2 As 2.93
As 0.5000 0.0000 0.0000  4 Pb 2.93, 4 W 2.93, 2 As 2.93
Pb 0.0000 0.0000 0.5000  8 As 2.93, 2 W 2.93
W 0.5000 0.5000 0.5000  8 As 2.93, 2 Pb 2.93

(14)
TcAu | meta-GGA SCAN | single point on PBEsol structure

Values from the calculation:
Relative energy among the computed polymorphs ... 235 meV/atom
Symmetry ... No. 74
Formation enthalpy at 0 K ... 0.53 eV/f.u.

a = 4.8251 Å, b = 4.8251 Å, c = 4.8251 Å
α = 133.32°, β = 130.54°, γ = 70.37°
Closest atoms and distances in Å follow each position.
Element x y z (fractional)
Tc 0.3870 0.1370 0.2500  2 Tc 2.61, 8 Au 2.77-2.80
Tc 0.6130 0.8630 0.7500  2 Tc 2.61, 8 Au 2.77-2.80
Au 0.1276 0.3776 0.7500  8 Tc 2.77-2.80, 4 Au 2.78-2.79
Au 0.8724 0.6224 0.2500  8 Tc 2.77-2.80, 4 Au 2.78-2.79

(15)
NiHRu2 | meta-GGA SCAN | single point on PBEsol structure

Values from the calculation:
Symmetry ... No. 225

a = 3.9157 Å, b = 3.9157 Å, c = 3.9157 Å
α = 60.00°, β = 60.00°, γ = 60.00°
Closest atoms and distances in Å follow each position.
Element x y z (fractional)
Ni 0.0000 0.0000 0.0000  8 Ru 2.40
H 0.5000 0.5000 0.5000  8 Ru 2.40
Ru 0.2500 0.2500 0.2500  4 H 2.40, 4 Ni 2.40
Ru 0.7500 0.7500 0.7500  4 Ni 2.40, 4 H 2.40

(16)
Te2AsBr | meta-GGA SCAN | single point on PBEsol structure

Values from the calculation:
Relative energy among the computed polymorphs ... 146 meV/atom
Symmetry ... No. 99

a = 4.0695 Å, b = 4.0695 Å, c = 7.5303 Å
α = 90.00°, β = 90.00°, γ = 90.00°
Closest atoms and distances in Å follow each position.
Element x y z (fractional)
Te 0.0000 0.0000 0.0000  1 As 2.52
Te 0.5000 0.5000 0.3224  1 Br 2.60, 4 As 2.88
As 0.0000 0.0000 0.3353  1 Te 2.52
Br 0.5000 0.5000 0.6677  1 Te 2.60

(17)
TaTlAg3 | meta-GGA SCAN | single point on PBEsol structure

Values from the calculation:
Symmetry ... No. 221
Formation enthalpy at 0 K ... 8.34 eV/f.u.

a = 4.9842 Å, b = 4.9842 Å, c = 4.9842 Å
α = 90.00°, β = 90.00°, γ = 90.00°
Closest atoms and distances in Å follow each position.
Element x y z (fractional)
Ta 0.0000 0.0000 0.0000  12 Ag 3.52
Tl 0.5000 0.5000 0.5000  6 Ag 2.49
Ag 0.0000 0.5000 0.5000  2 Tl 2.49
Ag 0.5000 0.0000 0.5000  2 Tl 2.49
Ag 0.5000 0.5000 0.0000  2 Tl 2.49

(18)
SrAl3Tc | meta-GGA SCAN | single point on PBEsol structure

Values from the calculation:
Relative energy among the computed polymorphs ... 22 meV/atom
Symmetry ... No. 221
Formation enthalpy at 0 K ... -1.73 eV/f.u.

a = 4.7971 Å, b = 4.7971 Å, c = 4.7971 Å
α = 90.00°, β = 90.00°, γ = 90.00°
Closest atoms and distances in Å follow each position.
Element x y z (fractional)
Sr 0.0000 0.0000 0.0000  12 Al 3.39
Al 0.0000 0.5000 0.5000  2 Tc 2.40
Al 0.5000 0.0000 0.5000  2 Tc 2.40
Al 0.5000 0.5000 0.0000  2 Tc 2.40
Tc 0.5000 0.5000 0.5000  6 Al 2.40

(19)
SbAs2Pb | meta-GGA SCAN | single point on PBEsol structure

Values from the calculation:
Relative energy among the computed polymorphs ... 0 meV/atom
Symmetry ... No. 99

a = 4.0916 Å, b = 4.0916 Å, c = 6.0642 Å
α = 90.00°, β = 90.00°, γ = 90.00°
Closest atoms and distances in Å follow each position.
Element x y z (fractional)
Sb 0.0000 0.0000 0.0000  5 As 2.65-2.90
As 0.0000 0.0000 0.4369  1 Sb 2.65, 4 Pb 2.91
As 0.5000 0.5000 0.9627  1 Pb 2.86, 4 Sb 2.90
Pb 0.5000 0.5000 0.4917  5 As 2.86-2.91

(20)
AlPt2 | meta-GGA SCAN | single point on PBEsol structure

Values from the calculation:
Symmetry ... No. 51
Formation enthalpy at 0 K ... -3.08 eV/f.u.

a = 16.2850 Å, b = 3.9053 Å, c = 5.4394 Å
α = 90.00°, β = 90.00°, γ = 90.00°
Closest atoms and distances in Å follow each position.
Element x y z (fractional)
Al 0.0000 0.0000 0.0000  8 Pt 2.52-2.72
Al 0.0911 0.5000 0.3078  10 Pt 2.59-2.80
Al 0.2500 0.5000 0.7940  12 Pt 2.62-2.93
Al 0.4089 0.5000 0.3078  10 Pt 2.59-2.80
Al 0.5000 0.0000 0.0000  8 Pt 2.52-2.72
Al 0.5911 0.5000 0.6922  10 Pt 2.59-2.80
Al 0.7500 0.5000 0.2060  12 Pt 2.62-2.93
Al 0.9089 0.5000 0.6922  10 Pt 2.59-2.80
Pt 0.0000 0.0000 0.5000  6 Al 2.67-2.72, 6 Pt 2.74-2.78
Pt 0.0703 0.5000 0.7964  5 Al 2.52-2.80, 4 Pt 2.78
Pt 0.1578 0.0000 0.0495  5 Al 2.58-2.83, 6 Pt 2.70-2.78
Pt 0.1674 0.0000 0.5534  4 Al 2.67-2.71, 8 Pt 2.69-2.84
Pt 0.2500 0.5000 0.2755  4 Al 2.59-2.82, 8 Pt 2.75-2.81
Pt 0.3326 0.0000 0.5534  4 Al 2.67-2.71, 8 Pt 2.69-2.84
Pt 0.3422 0.0000 0.0495  5 Al 2.58-2.83, 6 Pt 2.70-2.78
Pt 0.4297 0.5000 0.7964  5 Al 2.52-2.80, 4 Pt 2.78
Pt 0.5000 0.0000 0.5000  6 Al 2.67-2.72, 6 Pt 2.74-2.78
Pt 0.5703 0.5000 0.2036  5 Al 2.52-2.80, 4 Pt 2.78
Pt 0.6578 0.0000 0.9505  5 Al 2.58-2.83, 6 Pt 2.70-2.78
Pt 0.6674 0.0000 0.4466  4 Al 2.67-2.71, 8 Pt 2.69-2.84
Pt 0.7500 0.5000 0.7245  4 Al 2.59-2.82, 8 Pt 2.75-2.81
Pt 0.8326 0.0000 0.4466  4 Al 2.67-2.71, 8 Pt 2.69-2.84
Pt 0.8422 0.0000 0.9505  5 Al 2.58-2.83, 6 Pt 2.70-2.78
Pt 0.9297 0.5000 0.2036  5 Al 2.52-2.80, 4 Pt 2.78

Size of the total moment readings, ordered: 0.00; 0.00; 3.21; 0.00; 0.00; 5.03; 0.00; 0.00; 0.00; 1.85; 1.64; 0.00; 0.89; 0.00; 0.00; 0.07; 2.93; 0.00; 0.00; 0.00 Bohr magnetons per cell
Total energy readings, ordered: -11.89; -31.32; -22.66; -20.20; -48.33; -10.09; -37.28; -21.27; -40.48; -14.33; -12.67; -23.06; -45.54; -51.84; -21.67; -28.45; -44.94; -16.47; -38.32; -50.41 eV/atom